Entry 1:
First-principles (PBE-GGA) data for crystalline Ba2LuAg at its relaxed geometry, as listed in Alexandria via LeMat-Bulk.

abc: 12.487 12.487 12.487
angles: 17.80 17.80 17.80
Fractional positions:
Ba (0.098, 0.098, 0.098)
Ba (0.902, 0.902, 0.902)
Lu (0.000, 0.000, 0.000)
Ag (0.500, 0.500, 0.500)

Values from the calculation:
The value obtained for the density of states at the Fermi level is 5.3 states/eV per cell. For the total energy, the calculation gives -9.80 eV per cell. For the density, the calculation gives 5.8 g/cm3. The symmetry is R-3m.


Entry 2:
First-principles (PBE-GGA) data for crystalline BaLuAgPb at its relaxed geometry, as listed in Alexandria via LeMat-Bulk.

abc: 5.594 5.594 5.594
angles: 60.00 60.00 60.00
Fractional positions:
Ba (0.000, 0.000, 0.000)
Lu (0.500, 0.500, 0.500)
Ag (0.250, 0.250, 0.250)
Pb (0.750, 0.750, 0.750)

Values from the calculation:
The value obtained for the density of states at the Fermi level is 0.9 states/eV per cell. For the total energy, the calculation gives -14.08 eV per cell. For the density, the calculation gives 8.4 g/cm3. The symmetry is F-43m.


Entry 3:
First-principles (PBE-GGA) data for crystalline BaLuAgSn at its relaxed geometry, as listed in Alexandria via LeMat-Bulk.

abc: 5.540 5.540 5.540
angles: 60.00 60.00 60.00
Fractional positions:
Ba (0.000, 0.000, 0.000)
Lu (0.500, 0.500, 0.500)
Ag (0.750, 0.750, 0.750)
Sn (0.250, 0.250, 0.250)

Values from the calculation:
The value obtained for the density of states at the Fermi level is 1.3 states/eV per cell. For the total energy, the calculation gives -14.63 eV per cell. For the density, the calculation gives 7.4 g/cm3. The symmetry is F-43m.


Entry 4:
First-principles (PBE-GGA) data for crystalline Ba2MgAg at its relaxed geometry, as listed in Alexandria via LeMat-Bulk.

abc: 3.999 3.999 9.548
angles: 90.00 90.00 90.00
Fractional positions:
Ba (0.000, 0.000, 0.000)
Ba (0.500, 0.500, 0.388)
Mg (0.000, 0.000, 0.641)
Ag (0.500, 0.500, 0.763)

Values from the calculation:
The value obtained for the density of states at the Fermi level is 2.6 states/eV per cell. For the total energy, the calculation gives -8.62 eV per cell. For the density, the calculation gives 4.4 g/cm3. The symmetry is P4mm.


Entry 5:
First-principles (PBE-GGA) data for crystalline Ba4MgAg at its relaxed geometry, as listed in Alexandria via LeMat-Bulk.

abc: 5.981 5.983 8.485
angles: 90.09 90.03 90.01
Fractional positions:
Ba (0.000, 0.000, 0.000)
Ba (0.001, 0.001, 0.517)
Ba (0.500, 0.500, 0.000)
Ba (0.500, 0.501, 0.517)
Mg (0.999, 0.502, 0.258)
Ag (0.500, 0.000, 0.758)

Values from the calculation:
The value obtained for the density of states at the Fermi level is 9.6 states/eV per cell. The distance to the lowest polymorph of the same formula is 119 meV/atom. For the density, the calculation gives 3.7 g/cm3. The symmetry is P1.


Entry 6:
First-principles (PBE-GGA) data for crystalline BaMg2Ag at its relaxed geometry, as listed in Alexandria via LeMat-Bulk.

abc: 4.855 4.855 6.803
angles: 110.55 110.55 59.80
Fractional positions:
Ba (0.000, 0.000, 0.000)
Mg (0.198, 0.198, 0.596)
Mg (0.802, 0.802, 0.404)
Ag (0.500, 0.500, 0.500)

Values from the calculation:
The value obtained for the density of states at the Fermi level is 2.9 states/eV per cell. For the total energy, the calculation gives -8.41 eV per cell. For the density, the calculation gives 3.9 g/cm3. The symmetry is C2/m.